# 1
VASP calculation (PBE) on an optimized crystal structure of InBi3Au3.

Its total energy is -146.953 eV/cell.

It has space group R-3 (No. 148, hexagonal axes), with a = 8.6966 Å, b = 8.6966 Å, c = 17.2320 Å, α = 90.00°, β = 90.00° and γ = 120.00°. Symmetry generates all atoms from In at (0.0000, 0.0000, 0.1808), Bi at (0.0319, 0.7715, 0.5990) and Au at (0.0122, 0.4204, 0.5717).

# 2
VASP calculation (PBE) on an optimized crystal structure of InBiAu.

Its total energy is -19.834 eV/cell.

It has space group I4mm (No. 107), with a = 3.409 Å, b = 3.409 Å, c = 12.969 Å, α = 90.00°, β = 90.00° and γ = 90.00°. Symmetry generates all atoms from In at (0.000, 0.000, 0.000), Bi at (0.000, 0.000, 0.705) and Au at (0.000, 0.000, 0.364).

# 3
VASP calculation (PBE) on an optimized crystal structure of In2Bi2Au.

Its total energy is -32.210 eV/cell.

It has space group P4/mbm (No. 127), with a = 7.171 Å, b = 7.171 Å, c = 5.474 Å, α = 90.00°, β = 90.00° and γ = 90.00°. Symmetry generates all atoms from In at (0.147, 0.353, 0.000), Bi at (0.166, 0.666, 0.500) and Au at (0.000, 0.000, 0.000).

# 4
VASP calculation (PBE) on an optimized crystal structure of InBiAu14.

Its total energy is -104.262 eV/cell.

It has space group Amm2 (No. 38), with a = 9.591 Å, b = 6.212 Å, c = 10.255 Å, α = 90.00°, β = 90.00° and γ = 90.00°. Symmetry generates all atoms from In at (0.000, 0.000, 0.000), Bi at (0.000, 0.000, 0.493), Au at (0.000, 0.241, 0.749), Au at (0.246, 0.000, 0.174), Au at (0.259, 0.000, 0.672), Au at (0.260, 0.243, 0.920), Au at (0.500, 0.000, 0.002), Au at (0.500, 0.000, 0.498) and Au at (0.500, 0.245, 0.246).

# 5
VASP calculation (PBE) on an optimized crystal structure of In2Bi2Au5.

Its total energy is -118.074 eV/cell.

It has space group Cmce (No. 64), with a = 13.420 Å, b = 7.288 Å, c = 9.452 Å, α = 90.00°, β = 90.00° and γ = 90.00°. Symmetry generates all atoms from In at (0.000, 0.147, 0.154), Bi at (0.226, 0.000, 0.500), Au at (0.000, 0.000, 0.500) and Au at (0.111, 0.188, 0.874).

# 6
VASP calculation (PBE) on an optimized crystal structure of In2BiAu.

Its total energy is -50.321 eV/cell.

It has space group I-42d (No. 122), with a = 5.266 Å, b = 5.266 Å, c = 17.484 Å, α = 90.00°, β = 90.00° and γ = 90.00°. Symmetry generates all atoms from In at (0.181, 0.250, 0.125), Bi at (0.000, 0.000, 0.500) and Au at (0.000, 0.000, 0.000).

# 7
VASP calculation (PBE) on an optimized crystal structure of In2BiAu.

Its total energy is -38.574 eV/cell.

It has space group R3m (No. 160, hexagonal axes), with a = 4.5824 Å, b = 4.5824 Å, c = 18.1482 Å, α = 90.00°, β = 90.00° and γ = 120.00°. Symmetry generates all atoms from In at (0.0000, 0.0000, 0.0000), In at (0.0000, 0.0000, 0.2002), Bi at (0.0000, 0.0000, 0.4336) and Au at (0.0000, 0.0000, 0.6016).

# 8
VASP calculation (PBE) on an optimized crystal structure of In6Bi2Au.

Its total energy is -27.570 eV/cell.

It has space group P2/m (No. 10), with a = 7.852 Å, b = 4.803 Å, c = 7.872 Å, α = 90.00°, β = 113.08° and γ = 90.00°. Symmetry generates all atoms from In at (0.010, 0.000, 0.222), In at (0.299, 0.500, 0.868), In at (0.352, 0.500, 0.302), Bi at (0.325, 0.000, 0.623) and Au at (0.000, 0.500, 0.000).

# 9
VASP calculation (PBE) on an optimized crystal structure of In2BiAu2.

Its total energy is -31.902 eV/cell.

It has space group P4/mbm (No. 127), with a = 8.376 Å, b = 8.376 Å, c = 3.415 Å, α = 90.00°, β = 90.00° and γ = 90.00°. Symmetry generates all atoms from In at (0.159, 0.341, 0.000), Bi at (0.000, 0.000, 0.000) and Au at (0.133, 0.633, 0.500).

# 10
VASP calculation (PBE) on an optimized crystal structure of InBi2Au2.

Its total energy is -34.296 eV/cell.

It has space group P4/mbm (No. 127), with a = 7.522 Å, b = 7.522 Å, c = 4.453 Å, α = 90.00°, β = 90.00° and γ = 90.00°. Symmetry generates all atoms from In at (0.000, 0.000, 0.000), Bi at (0.174, 0.326, 0.500) and Au at (0.133, 0.633, 0.000).

# 11
VASP calculation (PBE) on an optimized crystal structure of InBi2Au9.

Its total energy is -40.196 eV/cell.

It has space group P-1 (No. 2), with a = 5.613 Å, b = 5.808 Å, c = 8.114 Å, α = 107.16°, β = 92.55° and γ = 95.48°. Symmetry generates all atoms from In at (0.000, 0.000, 0.000), Bi at (0.347, 0.233, 0.387), Au at (0.169, 0.759, 0.424), Au at (0.175, 0.631, 0.747), Au at (0.260, 0.533, 0.076), Au at (0.282, 0.164, 0.743) and Au at (0.500, 0.000, 0.000).

# 12
VASP calculation (PBE) on an optimized crystal structure of In2BiAu8.

Its total energy is -36.259 eV/cell.

It has space group P-1 (No. 2), with a = 5.556 Å, b = 5.768 Å, c = 7.891 Å, α = 68.84°, β = 79.03° and γ = 89.44°. Symmetry generates all atoms from In at (0.183, 0.342, 0.317), Bi at (0.000, 0.000, 0.000), Au at (0.254, 0.831, 0.333), Au at (0.282, 0.422, 0.668), Au at (0.282, 0.918, 0.664) and Au at (0.496, 0.257, 0.002).

# 13
VASP calculation (PBE) on an optimized crystal structure of InBi3Au4.

Its total energy is -54.595 eV/cell.

It has space group Imm2 (No. 44), with a = 5.580 Å, b = 9.631 Å, c = 7.919 Å, α = 90.00°, β = 90.00° and γ = 90.00°. Symmetry generates all atoms from In at (0.000, 0.000, 0.000), Bi at (0.000, 0.258, 0.444), Bi at (0.000, 0.500, 0.159), Au at (0.000, 0.237, 0.810) and Au at (0.250, 0.000, 0.314).

# 14
VASP calculation (PBE) on an optimized crystal structure of InBi2Au6.

Its total energy is -58.277 eV/cell.

It has space group Immm (No. 71), with a = 3.304 Å, b = 10.668 Å, c = 11.860 Å, α = 90.00°, β = 90.00° and γ = 90.00°. Symmetry generates all atoms from In at (0.000, 0.000, 0.000), Bi at (0.000, 0.204, 0.500), Au at (0.000, 0.357, 0.307) and Au at (0.000, 0.500, 0.118).

# 15
VASP calculation (PBE) on an optimized crystal structure of InBi2Au2.

Its total energy is -34.670 eV/cell.

It has space group P2_1/m (No. 11), with a = 5.909 Å, b = 4.621 Å, c = 9.930 Å, α = 90.00°, β = 90.50° and γ = 90.00°. Symmetry generates all atoms from In at (0.122, 0.250, 0.303), Bi at (0.261, 0.250, 0.969), Bi at (0.360, 0.250, 0.639), Au at (0.190, 0.750, 0.481) and Au at (0.224, 0.750, 0.150).

# 16
VASP calculation (PBE) on an optimized crystal structure of InBi2Au2.

Its total energy is -33.153 eV/cell.

It has space group P4/mbm (No. 127), with a = 8.855 Å, b = 8.855 Å, c = 3.354 Å, α = 90.00°, β = 90.00° and γ = 90.00°. Symmetry generates all atoms from In at (0.000, 0.000, 0.000), Bi at (0.143, 0.357, 0.000) and Au at (0.159, 0.659, 0.500).

# 17
VASP calculation (PBE) on an optimized crystal structure of In2Bi2Au.

Its total energy is -66.552 eV/cell.

It has space group C2/c (No. 15), with a = 6.908 Å, b = 6.851 Å, c = 12.583 Å, α = 90.00°, β = 91.60° and γ = 90.00°. Symmetry generates all atoms from In at (0.161, 0.042, 0.134), Bi at (0.167, 0.482, 0.094) and Au at (0.000, 0.256, 0.750).

# 18
VASP calculation (PBE) on an optimized crystal structure of In3BiAu.

Its total energy is -14.893 eV/cell.

It has space group Pm-3m (No. 221), with a = 5.364 Å, b = 5.364 Å, c = 5.364 Å, α = 90.00°, β = 90.00° and γ = 90.00°. Symmetry generates all atoms from In at (0.000, 0.000, 0.500), Bi at (0.500, 0.500, 0.500) and Au at (0.000, 0.000, 0.000).

# 19
VASP calculation (PBE) on an optimized crystal structure of In2Bi2Au.

Its total energy is -32.351 eV/cell.

It has space group P4/mbm (No. 127), with a = 7.663 Å, b = 7.663 Å, c = 5.148 Å, α = 90.00°, β = 90.00° and γ = 90.00°. Symmetry generates all atoms from In at (0.163, 0.337, 0.000), Bi at (0.150, 0.650, 0.500) and Au at (0.000, 0.000, 0.500).

# 20
VASP calculation (PBE) on an optimized crystal structure of InBiAu6.

Its total energy is -26.475 eV/cell.

It has space group P4/mmm (No. 123), with a = 4.309 Å, b = 4.309 Å, c = 8.625 Å, α = 90.00°, β = 90.00° and γ = 90.00°. Symmetry generates all atoms from In at (0.000, 0.000, 0.000), Bi at (0.000, 0.000, 0.500), Au at (0.000, 0.500, 0.237), Au at (0.500, 0.500, 0.000) and Au at (0.500, 0.500, 0.500).